1.
Below is DyTmBeOs after structural relaxation, with properties calculated at the GGA-PBE level.

POSCAR file:
```
DyTmBeOs
1.0
4.7935 0.0000 0.0000
2.3968 4.1513 0.0000
2.3968 1.3838 3.9139
Os Dy Be Tm
1 1 1 1
direct
0.5000 0.5000 0.5000 Os
0.7500 0.7500 0.7500 Dy
0.0000 0.0000 0.0000 Be
0.2500 0.2500 0.2500 Tm
```

Calculated values
* N(E_F): 3.2 states/eV/f.u.
* ρ: 11.31 g/cm³
* calculated formation energy: -0.11 eV/atom
* final energy: -0.44927 Ry/atom

---

2.
Below is Nb2CuAu after structural relaxation, with properties calculated at the GGA-PBE level.

POSCAR file:
```
Nb2CuAu
1.0
2.7959 0.0000 0.0000
1.3980 2.4213 0.0000
1.3980 0.8071 10.4460
Cu Nb Au
1 2 1
direct
0.5000 0.5000 0.5000 Cu
0.9075 0.9075 0.2774 Nb
0.0925 0.0925 0.7226 Nb
0.0000 0.0000 0.0000 Au
```

Calculated values
* N(E_F): 3.2 states/eV/f.u.
* ρ: 10.48 g/cm³
* calculated formation energy: 0.38 eV/atom
* final energy: -0.47781 Ry/atom

---

3.
Below is Cs2HoHI6 after structural relaxation, with properties calculated at the GGA-PBE level.

POSCAR file:
```
Cs2HoHI6
1.0
8.4996 1.3425 0.0067
1.3959 8.0246 0.0013
4.9543 4.6854 6.7941
I Ho Cs H
6 1 2 1
direct
0.8293 0.7355 0.0003 I
0.1707 0.2645 0.9997 I
0.7787 0.7802 0.4406 I
0.3640 0.7404 0.0009 I
0.6360 0.2596 0.9991 I
0.2213 0.2198 0.5594 I
0.0000 0.0000 0.0000 Ho
0.7292 0.2295 0.5410 Cs
0.2708 0.7705 0.4590 Cs
0.5000 0.5000 0.0000 H
```

Calculated values
* N(E_F): 0.0 states/eV/f.u.
* ρ: 4.40 g/cm³
* final energy: -0.22332 Ry/atom

---

4.
Below is In2GeRh after structural relaxation, with properties calculated at the GGA-PBE level.

POSCAR file:
```
In2GeRh
1.0
9.2684 0.0000 0.0000
0.0000 9.2684 0.0000
4.6342 4.6342 2.3420
In Rh Ge
4 2 2
direct
0.8750 0.9925 0.7500 In
0.7425 0.1250 0.2500 In
0.0075 0.6250 0.2500 In
0.3750 0.2575 0.7500 In
0.0000 0.0000 0.0000 Rh
0.7500 0.2500 0.5000 Rh
0.5000 0.5000 0.0000 Ge
0.2500 0.7500 0.5000 Ge
```

Calculated values
* N(E_F): 2.6 states/eV/f.u.
* ρ: 6.69 g/cm³
* calculated formation energy: -0.03 eV/atom
* final energy: -0.32278 Ry/atom

---

> What is the final energy in the second record?

-0.47781 Ry/atom

---

> Number 1 is which compound?

DyTmBeOs

---

> The highest ρ belongs to which entry?

DyTmBeOs

---

> final energy of number 1 (DyTmBeOs)?

-0.44927 Ry/atom